Record 1
Material: PaTcI
Method: DFT, PBE
State: optimized geometry

## Properties
Space group = I4mm
Total moment = 0.0 μB per cell
DOS(E_F) = 0.728 states/eV per atom
ΔE to the lowest computed polymorph = 0.3245 eV/atom
Raw formation energy = 0.0749 eV per atom

a b c (Å): 3.636 3.636 6.357
angles (deg): 106.62 106.62 90.00
Element x y z (fractional)
1 I 0.992 0.992 0.985
2 Pa 0.719 0.719 0.438
3 Tc 0.289 0.289 0.577



Record 2
Material: PaTcI
Method: DFT, PBE
State: optimized geometry

## Properties
Space group = Pca2_1
Total moment = 0.0 μB per cell
DOS(E_F) = 0.566 states/eV per atom
ΔE to the lowest computed polymorph = 0.0000 eV/atom
Raw formation energy = -0.2496 eV per atom

a b c (Å): 6.242 4.880 11.667
angles (deg): 90.00 90.00 90.00
Element x y z (fractional)
1 Tc 0.987 0.001 0.149
2 Tc 0.487 0.999 0.851
3 Tc 0.987 0.501 0.851
4 Tc 0.487 0.499 0.149
5 I 0.255 0.000 0.341
6 I 0.755 0.000 0.659
7 I 0.255 0.500 0.659
8 I 0.755 0.500 0.341
9 Pa 0.987 0.501 0.099
10 Pa 0.487 0.499 0.901
11 Pa 0.987 0.001 0.901
12 Pa 0.487 0.999 0.099



Record 3
Material: Pa3Te5I
Method: DFT, PBE
State: optimized geometry

## Properties
Space group = C2/m
Total moment = 8.0 μB per cell
DOS(E_F) = 1.198 states/eV per atom
Raw formation energy = -0.6341 eV per atom

a b c (Å): 8.638 8.638 11.515
angles (deg): 66.31 66.31 75.36
Site moments in Bohr magnetons follow the coordinates.
Element x y z (fractional)
1 Pa 0.667 0.667 0.835  1.08
2 Pa 0.655 0.655 0.332  1.24
3 Pa 0.000 0.000 0.000  1.30
4 Pa 0.000 0.000 0.500  1.30
5 Pa 0.333 0.333 0.165  1.08
6 Pa 0.345 0.345 0.668  1.24
7 Te 0.957 0.372 0.330  -0.05
8 Te 0.290 0.710 0.000  -0.05
9 Te 0.767 0.767 0.024  -0.05
10 Te 0.420 0.420 0.368  -0.05
11 Te 0.580 0.580 0.632  -0.05
12 Te 0.233 0.233 0.976  -0.05
13 Te 0.372 0.957 0.330  -0.05
14 Te 0.710 0.290 0.000  -0.05
15 Te 0.043 0.628 0.670  -0.05
16 Te 0.628 0.043 0.670  -0.05
17 I 0.105 0.105 0.689  -0.02
18 I 0.895 0.895 0.311  -0.02



Record 4
Material: PaTe2I2
Method: DFT, PBE
State: optimized geometry

## Properties
Space group = C2/m
Total moment = 1.4 μB per cell
DOS(E_F) = 0.396 states/eV per atom
Raw formation energy = -0.7747 eV per atom

a b c (Å): 7.560 7.997 7.820
angles (deg): 81.33 71.41 61.79
Site moments in Bohr magnetons follow the coordinates.
Element x y z (fractional)
1 Pa 0.135 0.730 0.000  0.76
2 Pa 0.865 0.270 0.000  0.76
3 Te 0.890 0.000 0.336  -0.03
4 Te 0.655 0.000 0.112  -0.03
5 Te 0.345 0.000 0.888  -0.03
6 Te 0.110 0.000 0.664  -0.03
7 I 0.551 0.422 0.757  -0.02
8 I 0.449 0.578 0.243  -0.02
9 I 0.973 0.578 0.757  -0.02
10 I 0.027 0.422 0.243  -0.02



Record 5
Material: PaTe2I
Method: DFT, PBE
State: optimized geometry

## Properties
Space group = P4/mmm
Total moment = 1.3 μB per cell
DOS(E_F) = 1.401 states/eV per atom
ΔE to the lowest computed polymorph = 0.0804 eV/atom
Raw formation energy = -0.5760 eV per atom

a b c (Å): 4.046 4.046 7.475
angles (deg): 90.00 90.00 90.00
Site moments in Bohr magnetons follow the coordinates.
Element x y z (fractional)
1 I 0.500 0.500 0.500  0.02
2 Pa 0.500 0.500 0.000  0.94
3 Te 0.000 0.000 0.800  0.06
4 Te 0.000 0.000 0.200  0.06



Record 6
Material: PaTe2I
Method: DFT, PBE
State: optimized geometry

## Properties
Space group = R-3m
Total moment = 0.2 μB per cell
DOS(E_F) = 1.478 states/eV per atom
ΔE to the lowest computed polymorph = 0.1915 eV/atom
Raw formation energy = -0.4649 eV per atom

a b c (Å): 4.251 4.251 10.076
angles (deg): 77.82 77.82 60.00
Site moments in Bohr magnetons follow the coordinates.
Element x y z (fractional)
1 I 0.500 0.500 0.500  -0.19
2 Pa 0.000 0.000 0.000  0.50
3 Te 0.271 0.271 0.186  -0.03
4 Te 0.729 0.729 0.814  -0.03



Record 7
Material: PaTe2I
Method: DFT, PBE
State: optimized geometry

## Properties
Space group = R3m
Total moment = 0.0 μB per cell
ΔE to the lowest computed polymorph = 0.0000 eV/atom
Raw formation energy = -0.6564 eV per atom

a b c (Å): 5.037 5.037 8.366
angles (deg): 72.48 72.48 60.00
Element x y z (fractional)
1 Pa 0.650 0.650 0.051
2 Te 0.043 0.043 0.872
3 Te 0.285 0.285 0.145
4 I 0.523 0.523 0.432



Record 8
Material: Pa2TeI2
Method: DFT, PBE
State: optimized geometry

## Properties
Space group = R-3m
Total moment = 2.2 μB per cell
DOS(E_F) = 1.328 states/eV per atom
Raw formation energy = -0.6754 eV per atom

a b c (Å): 3.856 3.856 13.139
angles (deg): 81.56 81.56 60.00
Site moments in Bohr magnetons follow the coordinates.
Element x y z (fractional)
1 Pa 0.611 0.611 0.167  0.90
2 Pa 0.389 0.389 0.833  0.90
3 Te 0.000 0.000 0.000  -0.03
4 I 0.220 0.220 0.340  -0.02
5 I 0.780 0.780 0.660  -0.02



Record 9
Material: Pa2Te2I
Method: DFT, PBE
State: optimized geometry

## Properties
Space group = I4/mmm
Total moment = 1.9 μB per cell
DOS(E_F) = 1.996 states/eV per atom
Raw formation energy = -0.7411 eV per atom

a b c (Å): 4.272 4.272 9.414
angles (deg): 103.11 103.11 90.00
Site moments in Bohr magnetons follow the coordinates.
Element x y z (fractional)
1 Pa 0.823 0.823 0.646  0.84
2 Pa 0.177 0.177 0.354  0.84
3 Te 0.647 0.647 0.294  -0.03
4 Te 0.353 0.353 0.706  -0.03
5 I 0.000 0.000 0.000  -0.02



Record 10
Material: Pa2Te5I2
Method: DFT, PBE
State: optimized geometry

## Properties
Space group = Cmce
Total moment = 0.8 μB per cell
DOS(E_F) = 1.418 states/eV per atom
Raw formation energy = -0.4639 eV per atom

a b c (Å): 8.160 8.165 10.456
angles (deg): 112.98 90.00 90.00
Site moments in Bohr magnetons follow the coordinates.
Element x y z (fractional)
1 Pa 0.649 0.850 0.000  0.22
2 Pa 0.351 0.150 0.000  0.22
3 Pa 0.149 0.650 0.000  0.22
4 Pa 0.851 0.350 0.000  0.22
5 Te 0.000 0.000 0.000  0.00
6 Te 0.500 0.500 0.000  0.00
7 Te 0.849 0.756 0.210  -0.01
8 Te 0.151 0.454 0.210  -0.01
9 Te 0.349 0.954 0.210  -0.01
10 Te 0.651 0.256 0.210  -0.01
11 Te 0.151 0.244 0.790  -0.01
12 Te 0.849 0.546 0.790  -0.01
13 Te 0.651 0.046 0.790  -0.01
14 Te 0.349 0.744 0.790  -0.01
15 I 0.000 0.242 0.484  -0.01
16 I 0.500 0.742 0.484  -0.01
17 I 0.000 0.758 0.516  -0.01
18 I 0.500 0.258 0.516  -0.01



Record 11
Material: PaTeI
Method: DFT, PBE
State: optimized geometry

## Properties
Space group = P2_1/m
Total moment = 3.0 μB per cell
DOS(E_F) = 1.338 states/eV per atom
ΔE to the lowest computed polymorph = 0.0000 eV/atom
Raw formation energy = -0.8199 eV per atom

a b c (Å): 4.095 6.054 9.681
angles (deg): 90.00 89.69 90.00
Site moments in Bohr magnetons follow the coordinates.
Element x y z (fractional)
1 Pa 0.249 0.250 0.105  1.23
2 Pa 0.751 0.750 0.895  1.23
3 Te 0.752 0.250 0.862  -0.04
4 Te 0.248 0.750 0.138  -0.04
5 I 0.746 0.250 0.348  -0.02
6 I 0.254 0.750 0.652  -0.02



Record 12
Material: Pa2Te4I
Method: DFT, PBE
State: optimized geometry

## Properties
Space group = Ima2
Total moment = 2.2 μB per cell
DOS(E_F) = 0.740 states/eV per atom
Raw formation energy = -0.8068 eV per atom

a b c (Å): 9.643 9.644 8.493
angles (deg): 116.15 116.12 107.33
Site moments in Bohr magnetons follow the coordinates.
Element x y z (fractional)
1 Pa 0.737 0.487 0.862  0.81
2 Pa 0.519 0.871 0.195  0.37
3 Pa 0.737 0.487 0.362  0.81
4 Pa 0.121 0.269 0.695  0.37
5 Te 0.804 0.156 0.234  -0.03
6 Te 0.406 0.554 0.226  -0.03
7 Te 0.071 0.601 0.836  -0.03
8 Te 0.804 0.156 0.726  -0.03
9 Te 0.449 0.188 0.319  -0.04
10 Te 0.438 0.199 0.819  -0.04
11 Te 0.406 0.554 0.733  -0.03
12 Te 0.851 0.821 0.336  -0.03
13 I 0.062 0.593 0.328  -0.02
14 I 0.843 0.812 0.828  -0.02



Record 13
Material: PaTe2I8
Method: DFT, PBE
State: optimized geometry

## Properties
Space group = C2/m
Total moment = 1.0 μB per cell
DOS(E_F) = 0.165 states/eV per atom
Raw formation energy = -0.4945 eV per atom

a b c (Å): 11.329 9.543 9.543
angles (deg): 53.97 57.37 57.37
Site moments in Bohr magnetons follow the coordinates.
Element x y z (fractional)
1 Pa 0.000 0.000 0.000  0.03
2 Te 0.545 0.060 0.060  0.20
3 Te 0.455 0.940 0.940  0.20
4 I 0.902 0.166 0.688  0.02
5 I 0.098 0.312 0.834  0.02
6 I 0.700 0.192 0.192  0.00
7 I 0.300 0.808 0.808  0.00
8 I 0.902 0.688 0.166  0.02
9 I 0.098 0.834 0.312  0.02
10 I 0.262 0.228 0.228  0.04
11 I 0.738 0.772 0.772  0.04



Record 14
Material: PaTeI
Method: DFT, PBE
State: optimized geometry

## Properties
Space group = F-43m
Total moment = 2.0 μB per cell
DOS(E_F) = 3.231 states/eV per atom
ΔE to the lowest computed polymorph = 0.3305 eV/atom
Raw formation energy = -0.4894 eV per atom

a b c (Å): 5.317 5.317 5.317
angles (deg): 60.00 60.00 60.00
Site moments in Bohr magnetons follow the coordinates.
Element x y z (fractional)
1 I 0.500 0.500 0.500  -0.03
2 Pa 0.250 0.250 0.250  1.68
3 Te 0.000 0.000 0.000  -0.05



Record 15
Material: PaTeI2
Method: DFT, PBE
State: optimized geometry

## Properties
Space group = Cm
Total moment = 1.0 μB per cell
DOS(E_F) = 0.224 states/eV per atom
ΔE to the lowest computed polymorph = 0.0000 eV/atom
Raw formation energy = -0.8329 eV per atom

a b c (Å): 3.951 5.907 8.691
angles (deg): 109.56 90.00 109.54
Site moments in Bohr magnetons follow the coordinates.
Element x y z (fractional)
1 Pa 0.916 0.831 0.478  0.98
2 Te 0.206 0.412 0.478  -0.05
3 I 0.559 0.117 0.763  -0.03
4 I 0.401 0.802 0.193  -0.03



Record 16
Material: Pa6Te12I
Method: DFT, PBE
State: optimized geometry

## Properties
Space group = R-3m
Total moment = 5.1 μB per cell
DOS(E_F) = 1.072 states/eV per atom
Raw formation energy = -0.7020 eV per atom

a b c (Å): 9.061 9.061 9.061
angles (deg): 104.33 104.33 104.33
Site moments in Bohr magnetons follow the coordinates.
Element x y z (fractional)
1 Pa 0.674 0.261 0.261  0.87
2 Pa 0.261 0.261 0.674  0.87
3 Pa 0.261 0.674 0.261  0.87
4 Pa 0.739 0.739 0.326  0.87
5 Pa 0.326 0.739 0.739  0.87
6 Pa 0.739 0.326 0.739  0.87
7 Te 0.874 0.126 0.500  -0.04
8 Te 0.822 0.561 0.561  -0.05
9 Te 0.561 0.561 0.822  -0.05
10 Te 0.439 0.178 0.439  -0.05
11 Te 0.439 0.439 0.178  -0.05
12 Te 0.178 0.439 0.439  -0.05
13 Te 0.126 0.500 0.874  -0.04
14 Te 0.500 0.874 0.126  -0.04
15 Te 0.126 0.874 0.500  -0.04
16 Te 0.874 0.500 0.126  -0.04
17 Te 0.500 0.126 0.874  -0.04
18 Te 0.561 0.822 0.561  -0.05
19 I 0.000 0.000 0.000  -0.02



Record 17
Material: Pa2TeI6
Method: DFT, PBE
State: optimized geometry

## Properties
Space group = C2/m
Total moment = 1.9 μB per cell
DOS(E_F) = 0.265 states/eV per atom
Raw formation energy = -0.8087 eV per atom

a b c (Å): 3.764 9.058 12.410
angles (deg): 93.29 81.28 78.01
Site moments in Bohr magnetons follow the coordinates.
Element x y z (fractional)
1 Pa 0.348 0.103 0.201  0.93
2 Pa 0.652 0.897 0.799  0.93
3 Te 0.000 0.000 0.000  -0.08
4 I 0.742 0.375 0.142  -0.03
5 I 0.258 0.625 0.858  -0.03
6 I 0.304 0.794 0.597  -0.03
7 I 0.958 0.828 0.255  -0.03
8 I 0.042 0.172 0.745  -0.03
9 I 0.696 0.206 0.403  -0.03



Record 18
Material: PaTeI
Method: DFT, PBE
State: optimized geometry

## Properties
Space group = P3m1
Total moment = 1.9 μB per cell
DOS(E_F) = 2.015 states/eV per atom
ΔE to the lowest computed polymorph = 0.4658 eV/atom
Raw formation energy = -0.3540 eV per atom

a b c (Å): 3.814 5.298 5.298
angles (deg): 120.00 90.00 90.00
Site moments in Bohr magnetons follow the coordinates.
Element x y z (fractional)
1 I 0.165 0.000 0.000  -0.03
2 Pa 0.168 0.667 0.333  1.58
3 Te 0.667 0.333 0.667  -0.05



Record 19
Material: PaTeI2
Method: DFT, PBE
State: optimized geometry

## Properties
Space group = R-3m
Total moment = 0.0 μB per cell
DOS(E_F) = 1.289 states/eV per atom
ΔE to the lowest computed polymorph = 0.5060 eV/atom
Raw formation energy = -0.3269 eV per atom

a b c (Å): 3.633 3.633 13.183
angles (deg): 82.08 82.08 60.00
Element x y z (fractional)
1 I 0.108 0.108 0.676
2 I 0.892 0.892 0.324
3 Pa 0.500 0.500 0.500
4 Te 0.000 0.000 0.000



Record 20
Material: PaTeI
Method: DFT, PBE
State: optimized geometry

## Properties
Space group = I4mm
Total moment = 1.5 μB per cell
DOS(E_F) = 1.083 states/eV per atom
ΔE to the lowest computed polymorph = 0.0526 eV/atom
Raw formation energy = -0.7673 eV per atom

a b c (Å): 3.780 3.780 7.773
angles (deg): 104.07 104.07 90.00
Site moments in Bohr magnetons follow the coordinates.
Element x y z (fractional)
1 I 0.296 0.296 0.591  -0.03
2 Pa 0.660 0.660 0.320  1.33
3 Te 0.044 0.044 0.089  -0.05